The following is a DFT calculation (PBE+U) of a relaxed CeNiTe2O8 crystal. Values from VASP.

Quantum ESPRESSO input file:
```
&SYSTEM
  ibrav = 0, nat = 12, ntyp = 4
/
ATOMIC_SPECIES
O 16.00 O.upf
Te 127.60 Te.upf
Ni 58.69 Ni.upf
Ce 140.12 Ce.upf
ATOMIC_POSITIONS angstrom
O -1.314 2.206 4.412
O 1.476 -2.404 5.892
O 3.179 -4.348 3.696
O -1.277 -1.162 4.804
O 0.795 -2.743 3.045
O 1.071 0.601 5.063
O 3.142 -0.980 3.304
O 0.389 0.262 2.216
Te 2.276 -2.607 4.073
Te -0.410 0.465 4.035
Ni 2.448 0.225 1.700
Ce 0.000 0.000 0.000
CELL_PARAMETERS angstrom
-3.099 3.537 3.995
0.067 -6.129 0.713
4.897 0.449 3.400
```

Summary:
Magnetic moment = 0.51 μB per formula unit
Mass density = 4.90 g/cm³
Space group = P-3m1, No. 164
D(E_F) = 3.87 states/eV/f.u.
Total energy = -70.0 eV for the cell shown